Record 1
! AlCBr3 (GGA-PBEsol, relaxed); values from VASP
&SYSTEM
  ibrav = 0, nat = 5, ntyp = 3
/
ATOMIC_SPECIES
C 12.01 C.upf
Al 26.98 Al.upf
Br 79.90 Br.upf
CELL_PARAMETERS angstrom
4.720 0.000 0.000
0.000 4.720 0.000
0.000 0.000 4.720
ATOMIC_POSITIONS angstrom
C 0.000 0.000 0.000
Al 2.360 2.360 2.360
Br 0.000 2.360 0.000
Br 0.000 0.000 2.360
Br 2.360 0.000 0.000
! - volume (Å³/atom) = 21.0
! - final energy (eV/f.u.) = -15.32
! - E_form (uncorrected) (meV/atom) = 805
! - N(E_F) (states/eV/cell) = 2.5
! - crystal system = cubic

Record 2
! CaAlC2Br (GGA-PBEsol, relaxed); values from VASP
&SYSTEM
  ibrav = 0, nat = 5, ntyp = 4
/
ATOMIC_SPECIES
C 12.01 C.upf
Ca 40.08 Ca.upf
Al 26.98 Al.upf
Br 79.90 Br.upf
CELL_PARAMETERS angstrom
4.761 0.000 0.000
0.000 4.761 0.000
0.000 0.000 5.586
ATOMIC_POSITIONS angstrom
C 0.000 2.381 0.000
C 2.381 0.000 0.000
Ca 0.000 0.000 0.000
Al 2.381 2.381 2.793
Br 0.000 0.000 2.793
! - volume (Å³/atom) = 25.3
! - final energy (eV/f.u.) = -17.15
! - E_form (uncorrected) (meV/atom) = 2047
! - N(E_F) (states/eV/cell) = 3.1
! - crystal system = tetragonal